## Li5Tl2O5 (PBE-GGA)

Data for Li5Tl2O5 after structural relaxation.

Structure (POSCAR):
```
Li5Tl2O5
1.0
5.0198 -1.5621 0.0000
5.0198 1.5621 0.0000
-2.8157 0.0000 9.4606
Li Tl O
5 2 5
Direct
0.0000 0.0000 0.0000 Li
0.1546 0.1546 0.5537 Li
0.2213 0.2213 0.9001 Li
0.7787 0.7787 0.0999 Li
0.8454 0.8454 0.4463 Li
0.4634 0.4634 0.7160 Tl
0.5366 0.5366 0.2840 Tl
0.2052 0.2052 0.3328 O
0.3864 0.3864 0.0672 O
0.5000 0.5000 0.5000 O
0.6136 0.6136 0.9328 O
0.7948 0.7948 0.6672 O
```

**SG**: C2/m (12)
**Formation energy from raw total energies**: -1261 meV per atom
**D(E_F)**: 0.098 states/eV per atom
**Total DFT energy (no corrections)**: -54.22 eV for the cell shown